Entry from Alexandria: a crystal of Y2CdAg relaxed with PBEsol (meta-GGA SCAN).

The structure in extended XYZ format:
```
4
Lattice="3.620 0.000 0.000 0.000 3.620 0.000 0.000 0.000 7.295" Properties=species:S:1:pos:R:3 pbc="T T T"
Y 0.000 0.000 1.749
Y 0.000 0.000 5.546
Cd 1.810 1.810 3.648
Ag 1.810 1.810 0.000
```

Output
energy relative to the elements	-44.2	kJ per mole of atoms
total DFT energy (no corrections)	-29.8249	eV/atom